No. 1
DFT (GGA-PBE) results for an optimized crystal structure of CoWSe2.

The structure in POSCAR format:
```
CoWSe2
1.0
2.635 0.000 0.000
0.000 4.176 0.000
-0.048 0.000 6.203
Co W Se
1 1 2
Cartesian
0.000 0.000 0.000
-0.024 0.000 3.102
-0.003 2.088 1.511
2.590 2.088 4.692
```

Computed properties:
Energy above the most stable polymorph in this dataset = 76.3 kJ per mole of atoms
Uncorrected formation energy = 0.67 eV per atom

No. 2
DFT (GGA-PBE) results for an optimized crystal structure of Co4WSe.

The structure in POSCAR format:
```
Co4WSe
1.0
0.000 3.357 3.357
3.357 0.000 3.357
3.357 3.357 0.000
Co W Se
4 1 1
Cartesian
2.523 2.523 2.523
4.192 4.192 2.523
4.192 2.523 4.192
2.523 4.192 4.192
5.036 5.036 5.036
0.000 0.000 0.000
```

Computed properties:
Uncorrected formation energy = 0.42 eV per atom